CsNa6Tl12: relaxed, PBE.

abc: 8.877 8.877 8.877
angles: 103.13 103.13 103.13
Atoms (fractional coordinates):
Cs  0.000  0.000  0.000
Na  0.283  0.283  0.694
Na  0.283  0.694  0.283
Na  0.306  0.717  0.717
Na  0.694  0.283  0.283
Na  0.717  0.306  0.717
Na  0.717  0.717  0.306
Tl  0.113  0.500  0.887
Tl  0.113  0.887  0.500
Tl  0.114  0.391  0.391
Tl  0.391  0.114  0.391
Tl  0.391  0.391  0.114
Tl  0.500  0.113  0.887
Tl  0.500  0.887  0.113
Tl  0.609  0.609  0.886
Tl  0.609  0.886  0.609
Tl  0.886  0.609  0.609
Tl  0.887  0.113  0.500
Tl  0.887  0.500  0.113

**Uncorrected energy**: -37.6 eV/cell
**Crystal system**: trigonal
**Formation enthalpy at 0 K**: -0.023 eV/atom
**Energy above the most stable polymorph in this dataset**: 0.0362 eV per atom